(1)
Here is NaCd3 after structural relaxation from the Alexandria database. Energies are from GGA-PBE.

Lattice parameters (Å, degrees): 5.452 5.452 5.452 129.42 129.42 74.34
Sites, in units of the cell vectors:
Na 0.000 0.000 0.000
Cd 0.250 0.750 0.500
Cd 0.500 0.500 0.000
Cd 0.750 0.250 0.500

Summary:
Size of the total moment: 0.0 μB/f.u.
Space group: I4/mmm (139)
E: -0.04004 hartree per atom
Calculated formation energy: -0.29 eV per formula unit

(2)
Here is Co5As after structural relaxation from the Alexandria database. Energies are from GGA-PBE.

Lattice parameters (Å, degrees): 4.383 4.383 4.095 90.00 90.00 120.00
Sites, in units of the cell vectors:
Co 0.000 0.663 0.000
Co 0.333 0.667 0.500
Co 0.337 0.337 0.000
Co 0.663 0.000 0.000
Co 0.667 0.333 0.500
As 0.000 0.000 0.500

Summary:
Size of the total moment: 7.3 μB/f.u.
Space group: P-62m (189)
E: -0.24608 hartree per atom
Calculated formation energy: 0.00 eV per formula unit